# ThCdRe, relaxed, DFT GGA-PBE
data_ThCdRe
_cell_length_a 6.889
_cell_length_b 6.889
_cell_length_c 6.889
_cell_angle_alpha 90.00
_cell_angle_beta 90.00
_cell_angle_gamma 90.00
_symmetry_space_group_name_H-M 'F -4 3 m'
_symmetry_Int_Tables_number 216
_symmetry_space_group_name_Hall 'F -4 2 3'
loop_
_atom_site_label
_atom_site_type_symbol
_atom_site_fract_x
_atom_site_fract_y
_atom_site_fract_z
Th1 Th 0.000 0.000 0.000
Cd1 Cd 0.250 0.250 0.750
Re1 Re 0.250 0.250 0.250
# volume: 27.24 A^3/atom
# energy relative to the elements: 1.209 eV/atom

# TlCd2Re, relaxed, DFT GGA-PBE
data_TlCd2Re
_cell_length_a 6.821
_cell_length_b 6.821
_cell_length_c 6.821
_cell_angle_alpha 90.00
_cell_angle_beta 90.00
_cell_angle_gamma 90.00
_symmetry_space_group_name_H-M 'F -4 3 m'
_symmetry_Int_Tables_number 216
_symmetry_space_group_name_Hall 'F -4 2 3'
loop_
_atom_site_label
_atom_site_type_symbol
_atom_site_fract_x
_atom_site_fract_y
_atom_site_fract_z
Tl1 Tl 0.000 0.000 0.000
Cd1 Cd 0.000 0.000 0.500
Cd2 Cd 0.250 0.250 0.750
Re1 Re 0.250 0.250 0.250
# volume: 19.83 A^3/atom
# electronic total energy: -3.23 eV per atom

# TlCdRe2, relaxed, DFT GGA-PBE
data_TlCdRe2
_cell_length_a 6.574
_cell_length_b 6.574
_cell_length_c 6.574
_cell_angle_alpha 90.00
_cell_angle_beta 90.00
_cell_angle_gamma 90.00
_symmetry_space_group_name_H-M 'F -4 3 m'
_symmetry_Int_Tables_number 216
_symmetry_space_group_name_Hall 'F -4 2 3'
loop_
_atom_site_label
_atom_site_type_symbol
_atom_site_fract_x
_atom_site_fract_y
_atom_site_fract_z
Tl1 Tl 0.000 0.000 0.000
Cd1 Cd 0.250 0.250 0.250
Re1 Re 0.000 0.000 0.500
Re2 Re 0.250 0.250 0.750
# volume: 17.75 A^3/atom
# electronic total energy: -5.98 eV per atom

What did the second record say?
# TlCd2Re, relaxed, DFT GGA-PBE
data_TlCd2Re
_cell_length_a 6.821
_cell_length_b 6.821
_cell_length_c 6.821
_cell_angle_alpha 90.00
_cell_angle_beta 90.00
_cell_angle_gamma 90.00
_symmetry_space_group_name_H-M 'F -4 3 m'
_symmetry_Int_Tables_number 216
_symmetry_space_group_name_Hall 'F -4 2 3'
loop_
_atom_site_label
_atom_site_type_symbol
_atom_site_fract_x
_atom_site_fract_y
_atom_site_fract_z
Tl1 Tl 0.000 0.000 0.000
Cd1 Cd 0.000 0.000 0.500
Cd2 Cd 0.250 0.250 0.750
Re1 Re 0.250 0.250 0.250
# volume: 19.83 A^3/atom
# electronic total energy: -3.23 eV per atom